A relaxed structure of Nd8Dy2Tm. Source: Alexandria via LeMat-Bulk, functional PBE-GGA.

The structure belongs to space group C2/m (No. 12); the cell edges are 16.8078, 6.8311 and 6.7427 Å and the angles 90.00°, 100.61° and 90.00°. The inequivalent atoms are Nd at (0.0861, 0.2381, 0.4026), Nd at (0.0946, 0.0000, 0.9155), Nd at (0.2443, 0.5000, 0.3201), Dy at (0.1945, 0.5000, 0.8067) and Tm at (0.0000, 0.5000, 0.0000).

Its density of states at the Fermi level is 35.881 states/eV/cell. For the total energy, the calculation gives -4.544 eV per atom. The spin magnetization comes out at 0.00 μB per cell. Its formation energy is 167 meV per atom.